1.
The following is a DFT calculation (PBE-GGA) of UTcB2 after structural relaxation.

Raw total energy   -9.1110 eV per atom
Fermi-level density of states   0.881 states/eV per atom
Excess energy over the best structure of this formula in the dataset   109 meV/atom

Unit cell a=3.0220 b=3.0284 c=10.7284 alpha=90.00 beta=90.00 gamma=90.00
With the nearest neighbours (Å) after each atom.
Space group Amm2 (No. 38)
Asymmetric unit:
U (0.0000, 0.0000, 0.0000) (multiplicity 2)  6 B 2.58-2.76
Tc (0.5000, 0.0000, 0.7160) (multiplicity 2)  6 B 2.21-2.26
B (0.0000, 0.0000, 0.2845) (multiplicity 2)  2 B 1.74
B (0.5000, 0.0000, 0.3659) (multiplicity 2)  2 B 1.74

---

2.
The following is a DFT calculation (PBE-GGA) of CdSnBiCl after structural relaxation.

Uncorrected formation energy   -18.41 kJ per mole of atoms
Raw total energy   -2.8522 eV per atom
Fermi-level density of states   0.247 states/eV per atom

Unit cell a=7.5409 b=7.5409 c=7.5409 alpha=90.00 beta=90.00 gamma=90.00
With the nearest neighbours (Å) after each atom.
Space group F-43m (No. 216)
Asymmetric unit:
Cd (0.0000, 0.0000, 0.0000) (multiplicity 4)  4 Cl 3.27, 4 Bi 3.27
Sn (0.0000, 0.0000, 0.5000) (multiplicity 4)  4 Cl 3.27, 4 Bi 3.27
Bi (0.2500, 0.2500, 0.2500) (multiplicity 4)  4 Cd 3.27, 4 Sn 3.27
Cl (0.2500, 0.2500, 0.7500) (multiplicity 4)  4 Cd 3.27, 4 Sn 3.27

---

3.
The following is a DFT calculation (PBE-GGA) of ThCu2Pd after structural relaxation.

Raw total energy   -5.4288 eV per atom
Fermi-level density of states   0.749 states/eV per atom

Unit cell a=6.6574 b=6.6574 c=6.6574 alpha=90.00 beta=90.00 gamma=90.00
With the nearest neighbours (Å) after each atom.
Space group Fm-3m (No. 225)
Asymmetric unit:
Th (0.0000, 0.0000, 0.0000) (multiplicity 4)  8 Cu 2.88
Cu (0.2500, 0.2500, 0.2500) (multiplicity 8)  4 Pd 2.88, 4 Th 2.88
Pd (0.0000, 0.0000, 0.5000) (multiplicity 4)  8 Cu 2.88

---

4.
The following is a DFT calculation (PBE-GGA) of ZnNiOs2 after structural relaxation.

Raw total energy   -6.9699 eV per atom
Fermi-level density of states   0.870 states/eV per atom

Unit cell a=4.2661 b=4.2661 c=2.9007 alpha=90.00 beta=90.00 gamma=90.00
With the nearest neighbours (Å) after each atom.
Space group P4/mmm (No. 123)
Asymmetric unit:
Zn (0.0000, 0.0000, 0.0000) (multiplicity 1)  8 Os 2.58
Ni (0.5000, 0.5000, 0.0000) (multiplicity 1)  8 Os 2.58
Os (0.0000, 0.5000, 0.5000) (multiplicity 2)  4 Ni 2.58, 4 Zn 2.58